CuOsPb2 | PBE | optimized geometry

Unit cell a=3.4263 b=5.5214 c=4.3745 alpha=90.00 beta=90.00 gamma=90.00
With the nearest neighbours (Å) after each atom.
Atoms (fractional coordinates):
Cu: 0.5000 0.0000 0.5000  4 Pb 2.78
Os: 0.0000 0.5000 0.5000  4 Pb 2.78
Pb: 0.0000 0.0000 0.0000  4 Cu 2.78
Pb: 0.5000 0.5000 0.0000  4 Os 2.78

## Properties
M_tot	0.000	μB/atom
DFT formation energy	0.906	eV per atom
offset from the most stable computed form	0.371	eV/atom